12
Lattice="3.287 0.000 0.000 0.000 7.082 -0.018 0.000 -1.929 9.086" Properties=species:S:1:pos:R:3 comment="KZnInO3 | Alexandria | PBE | optimized geometry" e_form_raw_ev_per_atom=-1.4313 pbc="T T T"
K 0.822 1.019 2.375
K 2.465 4.134 6.693
Zn 0.822 -0.236 5.377
Zn 2.465 5.389 3.691
In 0.822 4.397 1.075
In 2.465 0.756 7.993
O 2.465 5.658 1.700
O 0.822 -0.505 7.367
O 0.822 4.824 4.573
O 2.465 0.329 4.494
O 2.465 2.875 1.070
O 0.822 2.278 7.998